# 1
A relaxed Li2PbN2 crystal. Source: Alexandria via LeMat-Bulk, functional PBE-GGA.

## Properties
Space-group type: P-3m1 (164)
ΔE_f (raw), eV per formula unit: 0.6

Structure (POSCAR):
```
Li2PbN2
1.0
3.441 0.000 0.000
-1.721 2.980 0.000
0.000 0.000 5.611
Li Pb N
2 1 2
Direct
0.333 0.667 0.121
0.667 0.333 0.879
0.000 0.000 0.500
0.333 0.667 0.740
0.667 0.333 0.260
```


# 2
A relaxed MgZn2Au2 crystal. Source: Alexandria via LeMat-Bulk, functional PBE-GGA.

## Properties
Relative energy among the computed polymorphs, eV/f.u.: 0.198
Space-group type: P4/mbm (127)
E_form, eV/atom: -0.28

Structure (POSCAR):
```
MgZn2Au2
1.0
7.325 0.000 0.000
0.000 7.325 0.000
0.000 0.000 3.277
Mg Zn Au
2 4 4
Direct
0.000 0.000 0.000
0.500 0.500 0.000
0.151 0.349 0.500
0.349 0.849 0.500
0.651 0.151 0.500
0.849 0.651 0.500
0.148 0.648 0.000
0.352 0.148 0.000
0.648 0.852 0.000
0.852 0.352 0.000
```


# 3
A relaxed Sm2YPa2Ru5 crystal. Source: Alexandria via LeMat-Bulk, functional PBE-GGA.

## Properties
Space-group type: P4/mbm (127)
E_form, eV/atom: -0.28

Structure (POSCAR):
```
Sm2YPa2Ru5
1.0
10.719 0.000 0.000
0.000 10.719 0.000
0.000 0.000 3.692
Sm Y Pa Ru
4 2 4 10
Direct
0.174 0.326 0.000
0.326 0.826 0.000
0.674 0.174 0.000
0.826 0.674 0.000
0.000 0.000 0.000
0.500 0.500 0.000
0.134 0.634 0.000
0.366 0.134 0.000
0.634 0.866 0.000
0.866 0.366 0.000
0.000 0.500 0.500
0.053 0.789 0.500
0.211 0.053 0.500
0.289 0.553 0.500
0.447 0.289 0.500
0.500 0.000 0.500
0.553 0.711 0.500
0.711 0.447 0.500
0.789 0.947 0.500
0.947 0.211 0.500
```


# 4
A relaxed Dy5Y2TmSc crystal. Source: Alexandria via LeMat-Bulk, functional PBE-GGA.

## Properties
Space-group type: Cmc2_1 (36)
E_form, eV/atom: 0.16

Structure (POSCAR):
```
Dy5Y2TmSc
1.0
2.761 -9.923 0.000
2.761 9.923 0.000
0.000 0.000 10.345
Dy Y Tm Sc
10 4 2 2
Direct
0.017 0.983 0.500
0.123 0.877 0.780
0.200 0.800 0.464
0.224 0.776 0.079
0.482 0.518 0.776
0.518 0.482 0.276
0.776 0.224 0.579
0.800 0.200 0.964
0.877 0.123 0.280
0.983 0.017 0.000
0.386 0.614 0.496
0.389 0.611 0.071
0.611 0.389 0.571
0.614 0.386 0.996
0.092 0.908 0.218
0.908 0.092 0.718
0.304 0.696 0.774
0.696 0.304 0.274
```


# 5
A relaxed PuPa6Pt crystal. Source: Alexandria via LeMat-Bulk, functional PBE-GGA.

## Properties
Space-group type: C2/m (12)
E_form, eV/atom: -0.09

Structure (POSCAR):
```
PuPa6Pt
1.0
3.399 -4.913 0.000
3.399 4.913 0.000
-1.167 0.000 6.259
Pu Pa Pt
1 6 1
Direct
0.000 0.000 0.000
0.013 0.668 0.738
0.281 0.281 0.813
0.332 0.987 0.262
0.668 0.013 0.738
0.719 0.719 0.187
0.987 0.332 0.262
0.500 0.500 0.500
```


# 6
A relaxed Th3Zr2Pb3 crystal. Source: Alexandria via LeMat-Bulk, functional PBE-GGA.

## Properties
Space-group type: P6_3/mcm (193)
E_form, eV/atom: -0.27

Structure (POSCAR):
```
Th3Zr2Pb3
1.0
9.227 0.000 0.000
-4.613 7.990 0.000
0.000 0.000 6.155
Th Zr Pb
6 4 6
Direct
0.000 0.244 0.250
0.000 0.756 0.750
0.244 0.000 0.250
0.244 0.244 0.750
0.756 0.000 0.750
0.756 0.756 0.250
0.333 0.667 0.000
0.333 0.667 0.500
0.667 0.333 0.000
0.667 0.333 0.500
0.000 0.404 0.750
0.000 0.596 0.250
0.404 0.000 0.750
0.404 0.404 0.250
0.596 0.000 0.250
0.596 0.596 0.750
```


# 7
A relaxed NdTmZn crystal. Source: Alexandria via LeMat-Bulk, functional PBE-GGA.

## Properties
Relative energy among the computed polymorphs, eV/f.u.: 0.000
Space-group type: I4mm (107)
E_form, eV/atom: -0.20

Structure (POSCAR):
```
NdTmZn
1.0
-1.804 1.804 6.154
1.804 -1.804 6.154
1.804 1.804 -6.154
Nd Tm Zn
1 1 1
Direct
0.000 0.000 0.000
0.288 0.288 0.000
0.659 0.659 0.000
```


# 8
A relaxed Ag2BiAu6 crystal. Source: Alexandria via LeMat-Bulk, functional PBE-GGA.

## Properties
Relative energy among the computed polymorphs, eV/f.u.: 0.000
Space-group type: C2/c (15)
E_form, eV/atom: 0.01

Structure (POSCAR):
```
Ag2BiAu6
1.0
7.135 -5.004 0.000
7.135 5.004 0.000
-0.799 0.000 4.932
Ag Bi Au
4 2 12
Direct
0.034 0.280 0.094
0.280 0.034 0.594
0.720 0.966 0.406
0.966 0.720 0.906
0.381 0.619 0.750
0.619 0.381 0.250
0.070 0.822 0.462
0.137 0.389 0.650
0.178 0.930 0.038
0.237 0.492 0.199
0.389 0.137 0.150
0.492 0.237 0.699
0.508 0.763 0.301
0.611 0.863 0.850
0.763 0.508 0.801
0.822 0.070 0.962
0.863 0.611 0.350
0.930 0.178 0.538
```


# 9
A relaxed Cs7Cl2O2 crystal. Source: Alexandria via LeMat-Bulk, functional PBE-GGA.

## Properties
Space-group type: C2/m (12)
ΔE_f (raw), eV per formula unit: -13.3

Structure (POSCAR):
```
Cs7Cl2O2
1.0
4.978 -7.495 0.000
4.978 7.495 0.000
-1.394 0.000 8.070
Cs Cl O
7 2 2
Direct
0.000 0.000 0.000
0.077 0.386 0.714
0.386 0.077 0.714
0.428 0.428 0.204
0.572 0.572 0.796
0.614 0.923 0.286
0.923 0.614 0.286
0.318 0.682 0.500
0.682 0.318 0.500
0.270 0.270 0.888
0.730 0.730 0.112
```


# 10
A relaxed Mg3H4Ir crystal. Source: Alexandria via LeMat-Bulk, functional PBE-GGA.

## Properties
Relative energy among the computed polymorphs, eV/f.u.: 0.000
Space-group type: C2/m (12)

Structure (POSCAR):
```
Mg3H4Ir
1.0
6.940 -1.507 0.000
6.940 1.507 0.000
-1.380 0.000 4.324
Mg H Ir
3 4 1
Direct
0.000 0.000 0.000
0.171 0.171 0.707
0.829 0.829 0.293
0.228 0.228 0.211
0.407 0.407 0.667
0.593 0.593 0.333
0.772 0.772 0.789
0.500 0.500 0.500
```


# 11
A relaxed ScCrH2 crystal. Source: Alexandria via LeMat-Bulk, functional PBE-GGA.

## Properties
Relative energy among the computed polymorphs, eV/f.u.: 2.042
Space-group type: Fm-3m (225)

Structure (POSCAR):
```
ScCrH2
1.0
0.000 2.651 2.651
2.651 0.000 2.651
2.651 2.651 0.000
Sc Cr H
1 1 2
Direct
0.000 0.000 0.000
0.500 0.500 0.500
0.250 0.250 0.250
0.750 0.750 0.750
```


# 12
A relaxed YFeOs2 crystal. Source: Alexandria via LeMat-Bulk, functional PBE-GGA.

## Properties
Relative energy among the computed polymorphs, eV/f.u.: 0.509
Space-group type: F-43m (216)
E_form, eV/atom: 0.36

Structure (POSCAR):
```
YFeOs2
1.0
0.000 3.198 3.198
3.198 0.000 3.198
3.198 3.198 0.000
Y Fe Os
1 1 2
Direct
0.000 0.000 0.000
0.750 0.750 0.750
0.250 0.250 0.250
0.500 0.500 0.500
```


Number 1: DFT total energy -4.717 eV/atom, mass density 7.188 g cm⁻³. Number 2: DFT total energy -2.416 eV/atom, mass density 10.371 g cm⁻³. Number 3: DFT total energy -8.409 eV/atom, mass density 10.625 g cm⁻³. Number 4: DFT total energy -5.030 eV/atom, mass density 7.055 g cm⁻³. Number 5: DFT total energy -9.758 eV/atom, mass density 14.499 g cm⁻³. Number 6: DFT total energy -6.584 eV/atom, mass density 10.979 g cm⁻³. Number 7: DFT total energy -3.706 eV/atom, mass density 7.848 g cm⁻³. Number 8: DFT total energy -3.237 eV/atom, mass density 15.148 g cm⁻³. Number 9: DFT total energy -2.992 eV/atom, mass density 2.849 g cm⁻³. Number 10: DFT total energy -3.696 eV/atom, mass density 4.942 g cm⁻³. Number 11: DFT total energy -5.247 eV/atom, mass density 4.411 g cm⁻³. Number 12: DFT total energy -8.987 eV/atom, mass density 13.326 g cm⁻³.